Material: Tl3SiPt
Method: DFT, PBE
State: relaxed

abc: 5.331 5.331 5.331
angles: 90.00 90.00 90.00
Element x y z (fractional)
Tl  0.000  0.000  0.500
Tl  0.000  0.500  0.000
Tl  0.500  0.000  0.000
Si  0.500  0.500  0.500
Pt  0.000  0.000  0.000

- ΔE to the lowest computed polymorph: 0.000 eV per atom
- E_form (uncorrected): 0.484 eV/atom


Material: TlSi2Pt2
Method: DFT, PBE
State: relaxed

abc: 6.526 6.526 6.526
angles: 144.50 144.50 51.07
Element x y z (fractional)
Tl  0.000  0.000  0.000
Si  0.250  0.750  0.500
Si  0.750  0.250  0.500
Pt  0.366  0.366  0.000
Pt  0.634  0.634  0.000

- E_form (uncorrected): -0.354 eV/atom


Material: TlSi2Pt
Method: DFT, PBE
State: relaxed

abc: 3.539 3.610 6.420
angles: 90.00 105.80 90.00
Element x y z (fractional)
Tl  0.000  0.000  0.000
Si  0.268  0.500  0.545
Si  0.764  0.000  0.542
Pt  0.627  0.500  0.259

- ΔE to the lowest computed polymorph: 0.211 eV per atom
- E_form (uncorrected): 0.046 eV/atom


Material: TlSi2Pt2
Method: DFT, PBE
State: relaxed

abc: 5.684 5.684 5.684
angles: 134.67 134.67 66.04
Element x y z (fractional)
Tl  0.000  0.000  0.000
Si  0.372  0.372  0.000
Si  0.628  0.628  0.000
Pt  0.250  0.750  0.500
Pt  0.750  0.250  0.500

- E_form (uncorrected): -0.344 eV/atom


Material: TlSi2Pt
Method: DFT, PBE
State: relaxed

abc: 5.135 5.135 5.135
angles: 139.84 116.84 77.54
Element x y z (fractional)
Tl  0.000  0.000  0.000
Si  0.494  0.494  0.000
Si  0.716  0.216  0.500
Pt  0.290  0.790  0.500

- ΔE to the lowest computed polymorph: 0.442 eV per atom
- E_form (uncorrected): 0.277 eV/atom


Material: TlSiPt3
Method: DFT, PBE
State: relaxed

abc: 4.619 4.619 4.619
angles: 90.00 90.00 90.00
Element x y z (fractional)
Tl  0.000  0.000  0.000
Si  0.500  0.500  0.500
Pt  0.000  0.500  0.500
Pt  0.500  0.000  0.500
Pt  0.500  0.500  0.000

- ΔE to the lowest computed polymorph: 0.000 eV per atom
- E_form (uncorrected): 0.115 eV/atom


Material: TlSi2Pt
Method: DFT, PBE
State: relaxed

abc: 4.687 4.687 4.687
angles: 60.00 60.00 60.00
Element x y z (fractional)
Tl  0.000  0.000  0.000
Si  0.250  0.250  0.250
Si  0.750  0.750  0.750
Pt  0.500  0.500  0.500

- ΔE to the lowest computed polymorph: 0.569 eV per atom
- E_form (uncorrected): 0.404 eV/atom


Material: TlSi2Pt
Method: DFT, PBE
State: relaxed

abc: 4.017 4.017 6.568
angles: 108.16 108.16 61.35
Element x y z (fractional)
Tl  0.000  0.000  0.000
Si  0.207  0.207  0.627
Si  0.795  0.795  0.373
Pt  0.501  0.501  0.500

- ΔE to the lowest computed polymorph: 0.000 eV per atom
- E_form (uncorrected): -0.165 eV/atom


Material: Tl2SiPt2
Method: DFT, PBE
State: relaxed

abc: 6.152 6.152 5.934
angles: 90.00 90.00 90.00
Element x y z (fractional)
Tl  0.186  0.314  0.000
Tl  0.314  0.814  0.000
Tl  0.686  0.186  0.000
Tl  0.814  0.686  0.000
Si  0.000  0.000  0.500
Si  0.500  0.500  0.500
Pt  0.153  0.653  0.500
Pt  0.347  0.153  0.500
Pt  0.653  0.847  0.500
Pt  0.847  0.347  0.500

- E_form (uncorrected): -0.103 eV/atom


Material: TlSiPt5
Method: DFT, PBE
State: relaxed

abc: 4.010 4.010 7.241
angles: 90.00 90.00 90.00
Element x y z (fractional)
Tl  0.000  0.000  0.000
Si  0.500  0.500  0.500
Pt  0.000  0.500  0.301
Pt  0.000  0.500  0.699
Pt  0.500  0.000  0.301
Pt  0.500  0.000  0.699
Pt  0.500  0.500  0.000

- E_form (uncorrected): -0.349 eV/atom


Material: TlSi2Pt
Method: DFT, PBE
State: relaxed

abc: 3.864 3.864 5.022
angles: 90.00 90.00 90.00
Element x y z (fractional)
Tl  0.000  0.000  0.000
Si  0.000  0.500  0.500
Si  0.500  0.000  0.500
Pt  0.500  0.500  0.000

- ΔE to the lowest computed polymorph: 0.603 eV per atom
- E_form (uncorrected): 0.438 eV/atom


Material: Tl4SiPt
Method: DFT, PBE
State: relaxed

abc: 6.142 6.142 6.142
angles: 60.00 60.00 60.00
Element x y z (fractional)
Tl  0.125  0.125  0.125
Tl  0.125  0.125  0.626
Tl  0.125  0.626  0.125
Tl  0.626  0.125  0.125
Si  0.500  0.500  0.500
Pt  0.750  0.750  0.750

- E_form (uncorrected): 0.761 eV/atom


Material: TlSi2Pt
Method: DFT, PBE
State: relaxed

abc: 4.648 4.648 3.622
angles: 90.00 90.00 108.20
Element x y z (fractional)
Tl  0.000  0.000  0.000
Si  0.000  0.500  0.500
Si  0.500  0.000  0.500
Pt  0.500  0.500  0.000

- ΔE to the lowest computed polymorph: 0.594 eV per atom
- E_form (uncorrected): 0.429 eV/atom


Material: TlVSi2Pt
Method: DFT, PBE
State: relaxed

abc: 4.615 4.615 5.070
angles: 90.00 90.00 90.00
Element x y z (fractional)
Tl  0.000  0.000  0.000
V  0.500  0.500  0.000
Si  0.000  0.500  0.500
Si  0.500  0.000  0.500
Pt  0.500  0.500  0.500

- E_form (uncorrected): 0.636 eV/atom


Material: YTlSiPt2
Method: DFT, PBE
State: relaxed

abc: 5.018 5.018 5.570
angles: 90.00 90.00 90.00
Element x y z (fractional)
Y  0.000  0.000  0.000
Tl  0.000  0.000  0.500
Si  0.500  0.500  0.000
Pt  0.000  0.500  0.500
Pt  0.500  0.000  0.500

- E_form (uncorrected): 1.009 eV/atom


Material: TmSi2Pt
Method: DFT, PBE
State: relaxed

abc: 6.532 4.233 10.481
angles: 90.00 90.00 90.00
Element x y z (fractional)
Tm  0.170  0.250  0.194
Tm  0.330  0.750  0.694
Tm  0.670  0.250  0.306
Tm  0.830  0.750  0.806
Si  0.029  0.250  0.657
Si  0.191  0.750  0.998
Si  0.309  0.250  0.498
Si  0.471  0.750  0.157
Si  0.529  0.250  0.843
Si  0.691  0.750  0.502
Si  0.809  0.250  0.002
Si  0.971  0.750  0.343
Pt  0.155  0.250  0.883
Pt  0.345  0.750  0.383
Pt  0.655  0.250  0.617
Pt  0.845  0.750  0.117

- E_form (uncorrected): -0.886 eV/atom


Material: Tm2Si3Pt2
Method: DFT, PBE
State: relaxed

abc: 9.005 9.005 6.886
angles: 90.00 90.00 153.64
Element x y z (fractional)
Tm  0.055  0.945  0.750
Tm  0.153  0.847  0.250
Tm  0.847  0.153  0.750
Tm  0.945  0.055  0.250
Si  0.226  0.774  0.750
Si  0.440  0.560  0.573
Si  0.440  0.560  0.927
Si  0.560  0.440  0.073
Si  0.560  0.440  0.427
Si  0.774  0.226  0.250
Pt  0.310  0.690  0.046
Pt  0.310  0.690  0.454
Pt  0.690  0.310  0.546
Pt  0.690  0.310  0.954

- E_form (uncorrected): -1.010 eV/atom


Material: Tm2SiPt
Method: DFT, PBE
State: relaxed

abc: 3.417 3.417 7.105
angles: 90.00 90.00 90.00
Element x y z (fractional)
Tm  0.000  0.000  0.245
Tm  0.000  0.000  0.755
Si  0.500  0.500  0.500
Pt  0.500  0.500  0.000

- E_form (uncorrected): -0.896 eV/atom


Material: TmSi3Pt5
Method: DFT, PBE
State: relaxed

abc: 5.806 5.806 13.921
angles: 90.00 90.00 140.40
Element x y z (fractional)
Tm  0.213  0.787  0.750
Tm  0.787  0.213  0.250
Si  0.055  0.945  0.250
Si  0.360  0.640  0.513
Si  0.360  0.640  0.987
Si  0.640  0.360  0.013
Si  0.640  0.360  0.487
Si  0.945  0.055  0.750
Pt  0.000  0.000  0.000
Pt  0.000  0.000  0.500
Pt  0.207  0.793  0.110
Pt  0.207  0.793  0.390
Pt  0.469  0.531  0.150
Pt  0.469  0.531  0.350
Pt  0.531  0.469  0.650
Pt  0.531  0.469  0.850
Pt  0.793  0.207  0.610
Pt  0.793  0.207  0.890

- E_form (uncorrected): -0.770 eV/atom


Material: Tm4Si3Pt
Method: DFT, PBE
State: relaxed

abc: 3.876 4.146 10.554
angles: 90.00 90.00 90.00
Element x y z (fractional)
Tm  0.000  0.000  0.000
Tm  0.000  0.500  0.496
Tm  0.500  0.000  0.280
Tm  0.500  0.500  0.781
Si  0.000  0.000  0.709
Si  0.000  0.500  0.220
Si  0.500  0.000  0.563
Pt  0.500  0.500  0.057

- E_form (uncorrected): -0.927 eV/atom


Material: Tm2SiPt6
Method: DFT, PBE
State: relaxed

abc: 5.573 5.573 6.096
angles: 102.31 102.31 60.28
Element x y z (fractional)
Tm  0.146  0.146  0.360
Tm  0.854  0.854  0.640
Si  0.500  0.500  0.500
Pt  0.113  0.625  0.197
Pt  0.375  0.375  0.794
Pt  0.375  0.887  0.803
Pt  0.625  0.113  0.197
Pt  0.625  0.625  0.206
Pt  0.887  0.375  0.803

- E_form (uncorrected): -1.101 eV/atom


Material: TmSi2Pt3
Method: DFT, PBE
State: relaxed

abc: 8.355 8.355 9.908
angles: 106.91 106.91 27.27
Element x y z (fractional)
Tm  0.000  0.000  0.000
Tm  0.153  0.153  0.689
Tm  0.847  0.847  0.311
Si  0.200  0.200  0.132
Si  0.363  0.363  0.552
Si  0.461  0.461  0.222
Si  0.539  0.539  0.778
Si  0.637  0.637  0.448
Si  0.800  0.800  0.868
Pt  0.038  0.038  0.325
Pt  0.225  0.225  0.386
Pt  0.325  0.325  0.049
Pt  0.382  0.382  0.810
Pt  0.500  0.500  0.500
Pt  0.618  0.618  0.190
Pt  0.675  0.675  0.951
Pt  0.775  0.775  0.614
Pt  0.962  0.962  0.675

- E_form (uncorrected): -1.035 eV/atom


Material: TmSiPt6
Method: DFT, PBE
State: relaxed

abc: 6.983 6.983 6.983
angles: 45.60 45.60 45.60
Element x y z (fractional)
Tm  0.000  0.000  0.000
Si  0.500  0.500  0.500
Pt  0.067  0.578  0.578
Pt  0.422  0.422  0.933
Pt  0.422  0.933  0.422
Pt  0.578  0.067  0.578
Pt  0.578  0.578  0.067
Pt  0.933  0.422  0.422

- E_form (uncorrected): -0.540 eV/atom


Material: TmSiPt3
Method: DFT, PBE
State: relaxed

abc: 5.641 4.535 7.110
angles: 90.00 90.00 90.00
Element x y z (fractional)
Tm  0.000  0.036  0.000
Tm  0.500  0.964  0.500
Si  0.000  0.645  0.523
Si  0.500  0.355  0.023
Pt  0.000  0.123  0.411
Pt  0.243  0.604  0.227
Pt  0.257  0.396  0.727
Pt  0.500  0.877  0.911
Pt  0.743  0.396  0.727
Pt  0.757  0.604  0.227

- ΔE to the lowest computed polymorph: 0.000 eV per atom
- E_form (uncorrected): -1.031 eV/atom